(1)
A geometry-optimized NbTeH2 structure, computed with PBE.

Calculated values
Energy above the most stable polymorph in this dataset (eV per atom): 0.389
Total magnetic moment (μB per formula unit): 0.8

```
NbTeH2
1.0
-3.516 0.689 -2.364
-0.372 -4.223 -0.676
-5.319 -2.251 3.359
H Te Nb
4 2 2
Direct
0.375 0.625 0.750
0.375 0.125 0.250
0.875 0.625 0.750
0.375 0.625 0.250
0.750 0.250 0.500
0.000 0.000 0.000
0.250 0.750 0.500
0.500 0.500 0.000
```

***

(2)
A geometry-optimized NbTe2H structure, computed with PBE.

Calculated values
Energy above the most stable polymorph in this dataset (eV per atom): 0.864
Total magnetic moment (μB per formula unit): 0.0

```
NbTe2H
1.0
5.942 0.000 0.000
0.000 5.942 0.000
2.971 2.971 5.457
H Te Nb
2 4 2
Direct
0.250 0.750 0.500
0.500 0.500 0.000
0.174 0.625 0.250
0.576 0.125 0.250
0.875 0.826 0.750
0.375 0.424 0.750
0.750 0.250 0.500
0.000 0.000 0.000
```

***

(3)
A geometry-optimized Nb3Te4H2 structure, computed with PBE.

Calculated values
Total magnetic moment (μB per formula unit): 0.2
E_tot (eV per atom): -5.6126

```
Nb3Te4H2
1.0
3.450 0.000 0.000
-1.725 2.988 0.000
0.000 0.000 18.981
Nb Te H
3 4 2
Direct
0.000 0.000 0.951
0.000 0.000 0.299
0.667 0.333 0.705
0.667 0.333 0.195
0.667 0.333 0.402
0.000 0.000 0.808
0.000 0.000 0.603
0.667 0.333 0.912
0.667 0.333 0.003
```

***

(4)
A geometry-optimized NbTeH structure, computed with PBE.

Calculated values
Total magnetic moment (μB per formula unit): 0.0
E_tot (eV per atom): -5.5337

```
NbTeH
1.0
3.432 0.000 0.000
0.000 3.466 0.000
0.000 0.000 8.814
H Nb Te
2 2 2
Direct
0.500 0.500 0.245
0.000 0.000 0.745
0.500 0.000 0.156
0.000 0.500 0.656
0.500 0.500 0.906
0.000 0.000 0.406
```

***

(5)
A geometry-optimized NbTeH structure, computed with PBE.

Calculated values
Total magnetic moment (μB per formula unit): 0.0
E_tot (eV per atom): -5.7559

```
NbTeH
1.0
-0.958 1.387 -3.187
-2.184 -6.797 -2.302
-6.894 1.319 2.646
H Nb Te
4 4 4
Direct
0.500 0.250 0.024
0.000 0.024 0.750
0.000 0.976 0.250
0.500 0.750 0.976
0.500 0.112 0.795
0.000 0.205 0.112
0.000 0.795 0.888
0.500 0.888 0.205
0.000 0.591 0.215
0.500 0.215 0.409
0.000 0.409 0.785
0.500 0.785 0.591
```

***

(6)
A geometry-optimized NbTeH structure, computed with PBE.

Calculated values
Total magnetic moment (μB per formula unit): 0.0
E_tot (eV per atom): -5.4091

```
NbTeH
1.0
-1.804 0.455 3.447
0.105 -3.875 0.566
24.614 2.502 12.551
H Te Nb
8 8 8
Direct
0.253 0.249 0.147
0.253 0.751 0.353
0.747 0.751 0.647
0.751 0.253 0.397
0.747 0.249 0.853
0.249 0.253 0.603
0.751 0.747 0.103
0.249 0.747 0.897
0.750 0.248 0.938
0.250 0.248 0.062
0.750 0.752 0.562
0.248 0.250 0.688
0.752 0.250 0.312
0.248 0.750 0.812
0.250 0.752 0.438
0.752 0.750 0.188
0.748 0.250 0.785
0.748 0.750 0.715
0.250 0.252 0.535
0.252 0.250 0.215
0.252 0.750 0.285
0.750 0.252 0.465
0.750 0.748 0.035
0.250 0.748 0.965
```

***

(7)
A geometry-optimized NbTe2H structure, computed with PBE.

Calculated values
Energy above the most stable polymorph in this dataset (eV per atom): 0.328
Total magnetic moment (μB per formula unit): 0.0

```
NbTe2H
1.0
-1.824 -3.196 -0.001
5.536 -3.322 2.033
-3.533 2.650 6.529
Te Nb H
4 2 2
Direct
0.092 0.964 0.984
0.049 0.469 0.538
0.551 0.945 0.443
0.594 0.446 0.911
0.560 0.776 0.726
0.086 0.138 0.702
0.311 0.954 0.205
0.015 0.439 0.314
```

***

(8)
A geometry-optimized NbTeH structure, computed with PBE.

Calculated values
Total magnetic moment (μB per formula unit): 0.0
E_tot (eV per atom): -5.5561

```
NbTeH
1.0
3.335 0.000 0.000
0.000 3.511 0.000
0.000 0.000 8.150
Nb H Te
2 2 2
Direct
0.000 0.500 0.152
0.000 0.000 0.652
0.000 0.500 0.559
0.000 0.000 0.059
0.500 0.000 0.349
0.500 0.500 0.849
```

***

(9)
A geometry-optimized NbTeH structure, computed with PBE.

Calculated values
Total magnetic moment (μB per formula unit): 0.0
E_tot (eV per atom): -5.8068

```
NbTeH
1.0
-2.531 0.431 2.290
0.322 -2.993 -1.664
8.565 -4.846 10.375
Nb H Te
3 3 3
Direct
0.667 0.333 0.139
0.333 0.667 0.472
0.000 0.000 0.805
0.000 0.000 0.104
0.667 0.333 0.437
0.333 0.667 0.770
0.333 0.667 0.272
0.667 0.333 0.939
0.000 0.000 0.606
```

***

(10)
A geometry-optimized NbTe2H structure, computed with PBE.

Calculated values
Energy above the most stable polymorph in this dataset (eV per atom): 0.425
Total magnetic moment (μB per formula unit): 0.0

```
NbTe2H
1.0
-2.685 -3.191 6.653
-2.482 -6.105 4.268
0.611 -4.931 6.079
Nb Te H
1 2 1
Direct
0.500 0.500 0.500
0.088 0.088 0.088
0.912 0.912 0.912
0.000 0.000 0.000
```

***

(11)
A geometry-optimized ThNb2H8 structure, computed with PBE.

Calculated values
Energy above the most stable polymorph in this dataset (eV per atom): 0.018
Total magnetic moment (μB per formula unit): 0.0

```
ThNb2H8
1.0
-2.689 -2.161 -1.031
1.752 -3.674 3.532
-3.493 3.590 1.988
H Nb Th
8 2 1
Direct
0.026 0.021 0.312
0.500 0.263 0.737
0.974 0.688 0.979
0.716 0.380 0.380
0.026 0.312 0.021
0.500 0.737 0.263
0.974 0.979 0.688
0.284 0.620 0.620
0.000 0.340 0.660
0.000 0.660 0.340
0.500 0.000 0.000
```

***

(12)
A geometry-optimized ThNb2H8 structure, computed with PBE.

Calculated values
Energy above the most stable polymorph in this dataset (eV per atom): 0.000
Total magnetic moment (μB per formula unit): 0.0

```
ThNb2H8
1.0
-3.153 2.741 1.472
-2.330 -0.691 -3.704
-2.531 -4.185 2.373
Th H Nb
1 8 2
Direct
0.500 0.500 0.500
0.230 0.230 0.213
0.770 0.230 0.787
0.230 0.230 0.787
0.770 0.770 0.213
0.770 0.230 0.213
0.230 0.770 0.787
0.770 0.770 0.787
0.230 0.770 0.213
0.500 0.000 0.000
0.000 0.500 0.000
```

***

Among the records above, which one has the highest total magnetic moment?
NbTeH2